Entry 1:
VASP calculation (PBE) on a relaxed structure of La2NiPb.

- Space group: P4mm, No. 99

Cell lengths 3.5378, 3.5378, 8.9385 Å; angles 90.00, 90.00, 90.00 degrees
Last column: nearest neighbours and their distance in Å.
Atoms (fractional coordinates):
La (0.0000, 0.0000, 0.0000)  4 Pb 3.48, 4 La 3.54
La (0.5000, 0.5000, 0.3625)  4 Ni 2.99, 1 Pb 3.28
Ni (0.0000, 0.0000, 0.5461)  4 Pb 2.99, 4 La 2.99
Pb (0.5000, 0.5000, 0.7290)  4 Ni 2.99, 1 La 3.28

***

Entry 2:
VASP calculation (PBE) on a relaxed structure of LaNiPb4.

- Space group: F-43m, No. 216

Cell lengths 6.3790, 6.3790, 6.3790 Å; angles 60.00, 60.00, 60.00 degrees
Last column: nearest neighbours and their distance in Å.
Atoms (fractional coordinates):
La (0.0000, 0.0000, 0.0000)  12 Pb 3.74, 4 Ni 3.91
Ni (0.7500, 0.7500, 0.7500)  12 Pb 3.74, 4 La 3.91
Pb (0.3748, 0.3748, 0.3748)  6 Pb 3.18-3.19
Pb (0.3748, 0.3748, 0.8756)  6 Pb 3.18-3.19
Pb (0.3748, 0.8756, 0.3748)  6 Pb 3.18-3.19
Pb (0.8756, 0.3748, 0.3748)  6 Pb 3.18-3.19

***

Entry 3:
VASP calculation (PBE) on a relaxed structure of LaNi2Pb2.

- Space group: P4/mbm, No. 127

Cell lengths 7.1020, 7.1020, 4.4165 Å; angles 90.00, 90.00, 90.00 degrees
Last column: nearest neighbours and their distance in Å.
Atoms (fractional coordinates):
La (0.0000, 0.0000, 0.0000)  4 Ni 2.84
La (0.5000, 0.5000, 0.0000)  4 Ni 2.84
Ni (0.1181, 0.3819, 0.0000)  1 Ni 2.37
Ni (0.3819, 0.8819, 0.0000)  1 Ni 2.37
Ni (0.6181, 0.1181, 0.0000)  1 Ni 2.37
Ni (0.8819, 0.6181, 0.0000)  1 Ni 2.37
Pb (0.1716, 0.6716, 0.5000)  6 Ni 3.04-3.06
Pb (0.3284, 0.1716, 0.5000)  6 Ni 3.04-3.06
Pb (0.6716, 0.8284, 0.5000)  6 Ni 3.04-3.06
Pb (0.8284, 0.3284, 0.5000)  6 Ni 3.04-3.06

***

Entry 4:
VASP calculation (PBE) on a relaxed structure of La2NiPb.

- Space group: P4/mmm, No. 123

Cell lengths 5.1270, 5.1270, 4.2272 Å; angles 90.00, 90.00, 90.00 degrees
Last column: nearest neighbours and their distance in Å.
Atoms (fractional coordinates):
La (0.0000, 0.5000, 0.0000)  4 Pb 3.32, 4 Ni 3.32, 4 La 3.63
La (0.5000, 0.0000, 0.0000)  4 Pb 3.32, 4 Ni 3.32, 4 La 3.63
Ni (0.0000, 0.0000, 0.5000)  8 La 3.32, 4 Pb 3.63
Pb (0.5000, 0.5000, 0.5000)  8 La 3.32, 4 Ni 3.63

***

Number 1: DFT total energy -19.72 eV/cell. Number 2: DFT total energy -23.78 eV/cell. Number 3: DFT total energy -48.49 eV/cell. Number 4: DFT total energy -20.37 eV/cell.